# 1
Computed, not measured: a geometry-optimized MgCl structure at the PBE level of DFT.

Summary:
**Energy relative to the elements, uncorrected**: -615 meV per atom

Lattice parameters (Å, degrees): 4.377 4.377 6.066 90.00 90.00 90.00
Fractional positions:
Mg 0.250 0.750 0.000
Mg 0.750 0.250 0.000
Cl 0.250 0.250 0.297
Cl 0.750 0.750 0.703



# 2
Computed, not measured: a geometry-optimized Mg2Cl structure at the PBE level of DFT.

Summary:
**Distance to the lowest polymorph of the same formula**: 78.3 meV per atom
**Energy relative to the elements, uncorrected**: -584 meV per atom

Lattice parameters (Å, degrees): 3.536 3.536 6.205 90.00 90.00 120.00
Fractional positions:
Mg 0.333 0.667 0.325
Mg 0.667 0.333 0.675
Cl 0.000 0.000 0.000



# 3
Computed, not measured: a geometry-optimized MgCl structure at the PBE level of DFT.

Summary:
**Energy relative to the elements, uncorrected**: -1097 meV per atom

Lattice parameters (Å, degrees): 3.507 3.507 9.433 90.00 90.00 115.67
Fractional positions:
Mg 0.250 0.750 0.864
Mg 0.750 0.250 0.136
Cl 0.250 0.750 0.297
Cl 0.750 0.250 0.703



# 4
Computed, not measured: a geometry-optimized Mg2Cl structure at the PBE level of DFT.

Summary:
**Distance to the lowest polymorph of the same formula**: 709.4 meV per atom
**Energy relative to the elements, uncorrected**: 47 meV per atom

Lattice parameters (Å, degrees): 5.022 5.022 5.022 60.00 60.00 60.00
Fractional positions:
Mg 0.250 0.250 0.250
Mg 0.750 0.750 0.750
Cl 0.000 0.000 0.000



# 5
Computed, not measured: a geometry-optimized Mg2Cl structure at the PBE level of DFT.

Summary:
**Distance to the lowest polymorph of the same formula**: 145.1 meV per atom
**Energy relative to the elements, uncorrected**: -518 meV per atom

Lattice parameters (Å, degrees): 7.120 7.120 6.101 90.00 90.00 152.49
Fractional positions:
Mg 0.100 0.900 0.750
Mg 0.223 0.777 0.250
Mg 0.777 0.223 0.750
Mg 0.900 0.100 0.250
Cl 0.456 0.544 0.750
Cl 0.544 0.456 0.250



# 6
Computed, not measured: a geometry-optimized Mg5Cl3 structure at the PBE level of DFT.

Summary:
**Distance to the lowest polymorph of the same formula**: 289.3 meV per atom
**Energy relative to the elements, uncorrected**: -380 meV per atom

Lattice parameters (Å, degrees): 9.640 9.640 5.694 90.00 90.00 120.00
Fractional positions:
Mg 0.000 0.179 0.250
Mg 0.000 0.821 0.750
Mg 0.179 0.000 0.250
Mg 0.179 0.179 0.750
Mg 0.333 0.667 0.000
Mg 0.333 0.667 0.500
Mg 0.667 0.333 0.000
Mg 0.667 0.333 0.500
Mg 0.821 0.000 0.750
Mg 0.821 0.821 0.250
Cl 0.000 0.314 0.750
Cl 0.000 0.686 0.250
Cl 0.314 0.000 0.750
Cl 0.314 0.314 0.250
Cl 0.686 0.000 0.250
Cl 0.686 0.686 0.750



# 7
Computed, not measured: a geometry-optimized MgCl3 structure at the PBE level of DFT.

Summary:
**Energy relative to the elements, uncorrected**: -546 meV per atom

Lattice parameters (Å, degrees): 4.888 4.888 4.888 60.00 60.00 60.00
Fractional positions:
Mg 0.000 0.000 0.000
Cl 0.250 0.250 0.250
Cl 0.500 0.500 0.500
Cl 0.750 0.750 0.750



# 8
Computed, not measured: a geometry-optimized Mg3Cl structure at the PBE level of DFT.

Summary:
**Distance to the lowest polymorph of the same formula**: 57.0 meV per atom
**Energy relative to the elements, uncorrected**: -394 meV per atom

Lattice parameters (Å, degrees): 3.387 3.387 8.817 90.00 90.00 115.68
Fractional positions:
Mg 0.000 0.000 0.000
Mg 0.500 0.500 0.265
Mg 0.500 0.500 0.735
Cl 0.000 0.000 0.500



# 9
Computed, not measured: a geometry-optimized MgCl structure at the PBE level of DFT.

Summary:
**Energy relative to the elements, uncorrected**: -722 meV per atom

Lattice parameters (Å, degrees): 3.515 3.515 4.115 90.00 90.00 120.00
Fractional positions:
Mg 0.000 0.000 0.000
Cl 0.333 0.667 0.500



# 10
Computed, not measured: a geometry-optimized MgCl3 structure at the PBE level of DFT.

Summary:
**Energy relative to the elements, uncorrected**: -1114 meV per atom

Lattice parameters (Å, degrees): 11.365 11.365 11.365 18.08 18.08 18.08
Fractional positions:
Mg 0.000 0.000 0.000
Cl 0.375 0.375 0.375
Cl 0.500 0.500 0.500
Cl 0.625 0.625 0.625



# 11
Computed, not measured: a geometry-optimized MgCl structure at the PBE level of DFT.

Summary:
**Energy relative to the elements, uncorrected**: -1061 meV per atom

Lattice parameters (Å, degrees): 3.732 12.477 6.492 90.00 90.00 90.00
Fractional positions:
Mg 0.250 0.136 0.010
Mg 0.250 0.364 0.010
Mg 0.250 0.750 0.677
Mg 0.750 0.250 0.323
Mg 0.750 0.636 0.990
Mg 0.750 0.864 0.990
Cl 0.250 0.250 0.586
Cl 0.250 0.523 0.778
Cl 0.250 0.977 0.778
Cl 0.750 0.023 0.222
Cl 0.750 0.477 0.222
Cl 0.750 0.750 0.414



# 12
Computed, not measured: a geometry-optimized MgCl structure at the PBE level of DFT.

Summary:
**Energy relative to the elements, uncorrected**: -743 meV per atom

Lattice parameters (Å, degrees): 7.901 6.545 6.431 75.02 53.15 51.84
Fractional positions:
Mg 0.062 0.688 0.062
Mg 0.312 0.938 0.312
Mg 0.688 0.062 0.688
Mg 0.938 0.312 0.938
Cl 0.118 0.632 0.632
Cl 0.368 0.882 0.882
Cl 0.632 0.118 0.118
Cl 0.882 0.368 0.368



# 13
Computed, not measured: a geometry-optimized Mg2Cl structure at the PBE level of DFT.

Summary:
**Distance to the lowest polymorph of the same formula**: 321.8 meV per atom
**Energy relative to the elements, uncorrected**: -341 meV per atom

Lattice parameters (Å, degrees): 5.678 5.678 5.678 108.11 108.11 112.22
Fractional positions:
Mg 0.157 0.657 0.813
Mg 0.343 0.157 0.500
Mg 0.657 0.843 0.500
Mg 0.843 0.343 0.187
Cl 0.250 0.250 0.000
Cl 0.750 0.750 0.000



# 14
Computed, not measured: a geometry-optimized MgCl4 structure at the PBE level of DFT.

Summary:
**Energy relative to the elements, uncorrected**: -423 meV per atom

Lattice parameters (Å, degrees): 5.822 5.822 5.822 117.28 117.28 94.79
Fractional positions:
Mg 0.000 0.000 0.000
Cl 0.250 0.750 0.500
Cl 0.285 0.285 0.000
Cl 0.715 0.715 0.000
Cl 0.750 0.250 0.500



# 15
Computed, not measured: a geometry-optimized MgCl structure at the PBE level of DFT.

Summary:
**Energy relative to the elements, uncorrected**: -861 meV per atom

Lattice parameters (Å, degrees): 3.516 3.516 11.805 90.00 90.00 120.00
Fractional positions:
Mg 0.333 0.667 0.000
Mg 0.667 0.333 0.500
Cl 0.333 0.667 0.373
Cl 0.667 0.333 0.873



# 16
Computed, not measured: a geometry-optimized MgCl structure at the PBE level of DFT.

Summary:
**Energy relative to the elements, uncorrected**: -342 meV per atom

Lattice parameters (Å, degrees): 4.837 4.837 11.082 90.00 90.00 120.00
Fractional positions:
Mg 0.000 0.000 0.250
Mg 0.000 0.000 0.750
Mg 0.333 0.667 0.250
Mg 0.667 0.333 0.750
Cl 0.333 0.667 0.611
Cl 0.333 0.667 0.889
Cl 0.667 0.333 0.111
Cl 0.667 0.333 0.389



# 17
Computed, not measured: a geometry-optimized MgCl structure at the PBE level of DFT.

Summary:
**Energy relative to the elements, uncorrected**: -875 meV per atom

Lattice parameters (Å, degrees): 3.558 5.082 5.520 90.00 90.00 90.00
Fractional positions:
Mg 0.250 0.250 0.235
Mg 0.750 0.750 0.765
Cl 0.250 0.750 0.423
Cl 0.750 0.250 0.577



# 18
Computed, not measured: a geometry-optimized MgCl structure at the PBE level of DFT.

Summary:
**Energy relative to the elements, uncorrected**: -831 meV per atom

Lattice parameters (Å, degrees): 4.464 4.464 5.373 90.00 90.00 90.00
Fractional positions:
Mg 0.250 0.250 0.230
Mg 0.750 0.750 0.770
Cl 0.250 0.750 0.500
Cl 0.750 0.250 0.500



# 19
Computed, not measured: a geometry-optimized MgCl structure at the PBE level of DFT.

Summary:
**Energy relative to the elements, uncorrected**: -1177 meV per atom

Lattice parameters (Å, degrees): 12.164 12.164 3.508 90.00 90.00 90.00
Fractional positions:
Mg 0.162 0.307 0.000
Mg 0.193 0.663 0.500
Mg 0.307 0.838 0.000
Mg 0.337 0.193 0.500
Mg 0.663 0.807 0.500
Mg 0.693 0.162 0.000
Mg 0.807 0.337 0.500
Mg 0.838 0.693 0.000
Cl 0.012 0.299 0.500
Cl 0.198 0.512 0.000
Cl 0.299 0.988 0.500
Cl 0.488 0.198 0.000
Cl 0.512 0.802 0.000
Cl 0.701 0.012 0.500
Cl 0.802 0.488 0.000
Cl 0.988 0.701 0.500



# 20
Computed, not measured: a geometry-optimized Mg5Cl3 structure at the PBE level of DFT.

Summary:
**Distance to the lowest polymorph of the same formula**: 0.0 meV per atom
**Energy relative to the elements, uncorrected**: -669 meV per atom

Lattice parameters (Å, degrees): 7.098 7.098 9.760 100.35 100.35 119.96
Fractional positions:
Mg 0.000 0.000 0.000
Mg 0.005 0.261 0.764
Mg 0.261 0.005 0.764
Mg 0.268 0.497 0.264
Mg 0.497 0.268 0.264
Mg 0.500 0.500 0.001
Mg 0.503 0.759 0.764
Mg 0.759 0.503 0.764
Mg 0.769 0.997 0.264
Mg 0.997 0.769 0.264
Cl 0.005 0.005 0.506
Cl 0.043 0.543 0.068
Cl 0.448 0.948 0.386
Cl 0.504 0.504 0.505
Cl 0.543 0.043 0.068
Cl 0.948 0.448 0.386



# 21
Computed, not measured: a geometry-optimized MgCl3 structure at the PBE level of DFT.

Summary:
**Energy relative to the elements, uncorrected**: -1074 meV per atom

Lattice parameters (Å, degrees): 4.949 4.949 4.949 90.00 90.00 90.00
Fractional positions:
Mg 0.000 0.000 0.000
Cl 0.000 0.000 0.500
Cl 0.000 0.500 0.000
Cl 0.500 0.000 0.000



# 22
Computed, not measured: a geometry-optimized Mg3Cl structure at the PBE level of DFT.

Summary:
**Distance to the lowest polymorph of the same formula**: 0.0 meV per atom
**Energy relative to the elements, uncorrected**: -451 meV per atom

Lattice parameters (Å, degrees): 8.790 8.790 8.790 22.90 22.90 22.90
Fractional positions:
Mg 0.000 0.000 0.000
Mg 0.245 0.245 0.245
Mg 0.755 0.755 0.755
Cl 0.500 0.500 0.500



# 23
Computed, not measured: a geometry-optimized Mg2Cl structure at the PBE level of DFT.

Summary:
**Distance to the lowest polymorph of the same formula**: 325.2 meV per atom
**Energy relative to the elements, uncorrected**: -337 meV per atom

Lattice parameters (Å, degrees): 8.805 8.805 3.244 90.00 90.00 120.00
Fractional positions:
Mg 0.000 0.263 0.000
Mg 0.000 0.565 0.500
Mg 0.263 0.000 0.000
Mg 0.435 0.435 0.500
Mg 0.565 0.000 0.500
Mg 0.737 0.737 0.000
Cl 0.000 0.000 0.500
Cl 0.333 0.667 0.000
Cl 0.667 0.333 0.000



# 24
Computed, not measured: a geometry-optimized MgCl3 structure at the PBE level of DFT.

Summary:
**Energy relative to the elements, uncorrected**: -977 meV per atom

Lattice parameters (Å, degrees): 7.060 7.060 7.060 119.19 119.19 91.41
Fractional positions:
Mg 0.000 0.000 0.000
Mg 0.750 0.250 0.500
Cl 0.008 0.625 0.883
Cl 0.250 0.750 0.500
Cl 0.375 0.258 0.383
Cl 0.500 0.500 0.000
Cl 0.742 0.125 0.117
Cl 0.875 0.992 0.617



# 25
Computed, not measured: a geometry-optimized Mg3Cl structure at the PBE level of DFT.

Summary:
**Distance to the lowest polymorph of the same formula**: 354.3 meV per atom
**Energy relative to the elements, uncorrected**: -97 meV per atom

Lattice parameters (Å, degrees): 4.667 4.667 4.667 90.00 90.00 90.00
Fractional positions:
Mg 0.000 0.000 0.500
Mg 0.000 0.500 0.000
Mg 0.500 0.000 0.000
Cl 0.500 0.500 0.500